No. 1
Material: Cs2CdH2Br2
Method: DFT, PBE-GGA
State: optimized geometry

```
7
Lattice="-1.640 -0.356 -4.506 -0.563 -4.740 0.579 -7.185 3.888 4.873" Properties=species:S:1:pos:R:3 pbc="T T T"
Cs -6.224 1.007 2.185
Cs -3.164 -2.214 -1.239
Cd 0.000 0.000 0.000
H -0.282 -2.370 0.290
H -0.820 -0.178 -2.253
Br -2.657 0.430 0.933
Br -6.731 -1.637 0.014
```

Output
The total energy is -2.53 eV per atom. The mass density is 4.37 g cm⁻³. The space-group type is I4/mmm, No. 139.


No. 2
Material: Cs2HfCdBr6
Method: DFT, PBE-GGA
State: optimized geometry

```
10
Lattice="-1.483 3.747 7.551 -2.822 -7.445 3.141 3.467 -3.225 7.132" Properties=species:S:1:pos:R:3 pbc="T T T"
Cs -0.085 -0.663 10.014
Cs -0.754 -6.259 7.809
Hf 0.000 0.000 0.000
Br 1.025 -2.627 6.356
Br -1.864 -4.296 11.467
Br -0.935 -0.803 2.323
Br -3.370 -2.894 8.368
Br -1.774 1.316 6.593
Br -2.531 -5.013 4.099
Cd -2.153 -1.849 5.346
```

Output
The value obtained for the energy relative to the elements, uncorrected is -133.2 kJ/mol of atoms. The mass density is 3.88 g cm⁻³. The space-group type is Fm-3m, No. 225.


No. 3
Material: Cs3CdHg2Br9
Method: DFT, PBE-GGA
State: optimized geometry

```
15
Lattice="-1.862 0.733 -7.745 -1.451 -6.872 3.830 -8.917 3.248 2.451" Properties=species:S:1:pos:R:3 pbc="T T T"
Cs -7.525 -2.174 1.603
Cs 0.000 0.000 0.000
Cs -4.705 -0.717 -3.068
Cd -4.459 1.624 1.225
Hg -3.081 -3.793 0.382
Hg -9.148 0.902 -1.847
Br -7.721 1.634 -4.202
Br -8.452 -1.829 -2.272
Br -6.783 1.265 -0.299
Br -5.447 -4.156 -1.166
Br -3.777 -1.062 0.807
Br -4.508 -4.525 2.737
Br -0.931 0.366 -3.873
Br -0.725 -3.436 1.915
Br -1.656 -3.070 -1.958
```

Output
The value obtained for the energy relative to the elements, uncorrected is -102.1 kJ/mol of atoms. The mass density is 4.99 g cm⁻³. The space-group type is P-3m1, No. 164.


No. 4
Material: CsCdHgBr
Method: DFT, PBE-GGA
State: optimized geometry

```
4
Lattice="6.082 0.000 0.000 3.041 5.268 0.000 3.041 1.756 4.966" Properties=species:S:1:pos:R:3 pbc="T T T"
Cs 6.082 3.512 2.483
Hg 9.124 5.268 3.725
Br 3.041 1.756 1.242
Cd 0.000 0.000 0.000
```

Output
The value obtained for the energy relative to the elements, uncorrected is -63.3 kJ/mol of atoms. The mass density is 5.49 g cm⁻³. The space-group type is F-43m, No. 216.


No. 5
Material: Cs2CdHgBr6
Method: DFT, PBE-GGA
State: optimized geometry

```
10
Lattice="-4.028 -6.317 3.179 -1.460 -2.837 -7.487 2.041 -7.534 -1.966" Properties=species:S:1:pos:R:3 pbc="T T T"
Cs -2.365 -9.214 -0.470
Cs -1.081 -7.474 -5.803
Hg 0.000 0.000 0.000
Br -0.160 -6.174 -2.052
Br -3.286 -10.515 -4.221
Br -1.448 -2.415 -1.137
Br -4.040 -6.739 -3.171
Br -3.350 -5.399 0.365
Br -2.137 -3.755 -4.673
Cd -2.744 -4.577 -2.154
```

Output
The value obtained for the energy relative to the elements, uncorrected is -106.7 kJ/mol of atoms. The mass density is 4.71 g cm⁻³. The space-group type is I4/mmm, No. 139. The energy above the lowest structure with this stoichiometry comes out at 0.002 eV/atom.


No. 6
Material: CsCdHgBr2
Method: DFT, PBE-GGA
State: optimized geometry

```
5
Lattice="6.001 0.000 0.000 0.000 6.001 0.000 0.000 0.000 5.561" Properties=species:S:1:pos:R:3 pbc="T T T"
Cs 3.001 3.001 2.780
Hg 0.000 0.000 2.780
Br 0.000 3.001 0.000
Br 3.001 0.000 0.000
Cd 0.000 0.000 0.000
```

Output
The value obtained for the energy relative to the elements, uncorrected is -82.3 kJ/mol of atoms. The mass density is 5.02 g cm⁻³. The space-group type is P4/mmm, No. 123.


No. 7
Material: CsCdHg2Br
Method: DFT, PBE-GGA
State: optimized geometry

```
5
Lattice="5.609 0.000 0.000 0.000 5.609 0.000 0.000 0.000 6.463" Properties=species:S:1:pos:R:3 pbc="T T T"
Cs 2.805 2.805 3.231
Hg 0.000 2.805 0.000
Hg 2.805 0.000 0.000
Br 0.000 0.000 3.231
Cd 0.000 0.000 0.000
```

Output
The value obtained for the energy relative to the elements, uncorrected is -49.1 kJ/mol of atoms. The mass density is 5.93 g cm⁻³. The space-group type is P4/mmm, No. 123.


No. 8
Material: CsCdHg2Br8
Method: DFT, PBE-GGA
State: optimized geometry

```
12
Lattice="-3.964 -5.412 1.838 4.298 2.897 4.638 -7.429 6.418 2.875" Properties=species:S:1:pos:R:3 pbc="T T T"
Cs 0.000 0.000 0.000
Cd -3.714 3.209 1.438
Hg -3.176 -0.944 3.532
Hg -3.919 4.847 5.819
Br -5.852 6.517 6.568
Br -2.206 1.505 3.073
Br -0.974 1.337 6.629
Br -1.242 -2.614 2.784
Br -6.121 2.566 2.722
Br -4.889 2.398 6.279
Br -7.478 -0.055 5.065
Br 0.383 3.958 4.287
```

Output
The value obtained for the energy relative to the elements, uncorrected is -64.3 kJ/mol of atoms. The mass density is 4.98 g cm⁻³. The space-group type is P-3, No. 147.